*A*
Cu2HgIr | GGA-PBEsol | optimized geometry

## Properties
* V: 14.012 Å³/atom
* crystal system: monoclinic
* magnetization: 0.00 Bohr magnetons per cell

Cell lengths 4.9247, 4.9247, 4.4273 Å; angles 110.23, 110.23, 34.05 degrees
Positions (direct):
Cu 0.0000 0.0000 0.0000
Cu 0.7262 0.7262 0.3043
Hg 0.4800 0.4800 0.4886
Ir 0.2514 0.2514 0.8287

=====

*B*
Cu2HgIr | GGA-PBEsol | optimized geometry

## Properties
* V: 14.475 Å³/atom
* crystal system: orthorhombic
* magnetization: 0.00 Bohr magnetons per cell

Cell lengths 5.1025, 5.1025, 5.1025 Å; angles 146.28, 127.44, 63.92 degrees
Positions (direct):
Cu 0.2432 0.2432 0.0000
Cu 0.7568 0.7568 0.0000
Hg 0.5000 0.0000 0.5000
Ir 0.0000 0.5000 0.5000

=====

Of them, *B* has the lowest stability.

=====

*A*
CuNiHg | GGA-PBEsol | optimized geometry

## Properties
* V: 14.304 Å³/atom
* crystal system: trigonal
* magnetization: 0.00 Bohr magnetons per cell

Cell lengths 2.8407, 2.8407, 6.1404 Å; angles 90.00, 90.00, 120.00 degrees
Positions (direct):
Cu 0.0000 0.0000 0.0000
Ni 0.3333 0.6667 0.2923
Hg 0.6667 0.3333 0.6391

=====

*B*
CuNiHg | GGA-PBEsol | optimized geometry

## Properties
* V: 16.751 Å³/atom
* crystal system: cubic
* magnetization: 0.00 Bohr magnetons per cell

Cell lengths 4.1422, 4.1422, 4.1422 Å; angles 60.00, 60.00, 60.00 degrees
Positions (direct):
Cu 0.0000 0.0000 0.0000
Ni 0.5000 0.5000 0.5000
Hg 0.7500 0.7500 0.7500

=====

Of them, *B* has the lowest stability.

=====

*A*
CuHg2Pt | GGA-PBEsol | optimized geometry

## Properties
* V: 16.665 Å³/atom
* crystal system: tetragonal
* magnetization: 0.00 Bohr magnetons per cell

Cell lengths 4.1895, 4.1895, 3.7978 Å; angles 90.00, 90.00, 90.00 degrees
Positions (direct):
Cu 0.0000 0.0000 0.0000
Hg 0.0000 0.5000 0.5000
Hg 0.5000 0.0000 0.5000
Pt 0.5000 0.5000 0.0000

=====

*B*
CuHg2Pt | GGA-PBEsol | optimized geometry

## Properties
* V: 16.728 Å³/atom
* crystal system: cubic
* magnetization: 0.00 Bohr magnetons per cell

Cell lengths 4.5569, 4.5569, 4.5569 Å; angles 60.00, 60.00, 60.00 degrees
Positions (direct):
Cu 0.0000 0.0000 0.0000
Hg 0.2500 0.2500 0.2500
Hg 0.7500 0.7500 0.7500
Pt 0.5000 0.5000 0.5000

=====

*C*
CuHg2Pt | GGA-PBEsol | optimized geometry

## Properties
* V: 16.928 Å³/atom
* crystal system: trigonal
* magnetization: 0.00 Bohr magnetons per cell

Cell lengths 8.8399, 8.8399, 8.8399 Å; angles 19.56, 19.56, 19.56 degrees
Positions (direct):
Cu 0.0000 0.0000 0.0000
Hg 0.2535 0.2535 0.2535
Hg 0.7465 0.7465 0.7465
Pt 0.5000 0.5000 0.5000

=====

*D*
CuHg2Pt | GGA-PBEsol | optimized geometry

## Properties
* V: 16.961 Å³/atom
* crystal system: monoclinic
* magnetization: 0.00 Bohr magnetons per cell

Cell lengths 4.6881, 4.6881, 5.2383 Å; angles 100.98, 100.98, 36.98 degrees
Positions (direct):
Cu 0.0000 0.0000 0.0000
Hg 0.2552 0.2552 0.7586
Hg 0.7448 0.7448 0.2414
Pt 0.5000 0.5000 0.5000

=====

Of them, *C* has the lowest stability.